Record 1
Compound: BaCr2Os
Source: Alexandria via LeMat-Bulk
Functional: PBE
Structure: optimized geometry

Calculated values
Magnetic moment ... 1.01 μB/cell
Energy of formation ... 1.24 eV per atom
Space-group type ... F-43m
Energy above the most stable polymorph in this dataset ... 2.78 eV/f.u.
N(E_F) ... 0.994 states/eV per atom

a b c (Å): 4.8337 4.8337 4.8337
angles (deg): 60.00 60.00 60.00
Closest atoms and distances in Å follow each position.
Fractional positions:
Ba (0.0000, 0.0000, 0.0000)  4 Cr 2.96, 4 Os 2.96
Cr (0.5000, 0.5000, 0.5000)  4 Cr 2.96, 4 Os 2.96
Cr (0.7500, 0.7500, 0.7500)  4 Cr 2.96, 4 Ba 2.96
Os (0.2500, 0.2500, 0.2500)  4 Ba 2.96, 4 Cr 2.96

Record 2
Compound: BaCr2Os
Source: Alexandria via LeMat-Bulk
Functional: PBE
Structure: optimized geometry

Calculated values
Magnetic moment ... 1.08 μB/cell
Energy of formation ... 1.32 eV per atom
Space-group type ... Pmmm
Energy above the most stable polymorph in this dataset ... 3.09 eV/f.u.
N(E_F) ... 0.921 states/eV per atom

a b c (Å): 3.4862 4.8319 4.8432
angles (deg): 90.00 90.00 90.00
Closest atoms and distances in Å follow each position.
Fractional positions:
Ba (0.0000, 0.0000, 0.0000)  4 Os 2.98, 4 Cr 2.98
Cr (0.0000, 0.5000, 0.5000)  4 Cr 2.98, 4 Os 2.98
Cr (0.5000, 0.0000, 0.5000)  4 Cr 2.98, 4 Ba 2.98
Os (0.5000, 0.5000, 0.0000)  4 Ba 2.98, 4 Cr 2.98

Record 3
Compound: BaCr2Os
Source: Alexandria via LeMat-Bulk
Functional: PBE
Structure: optimized geometry

Calculated values
Magnetic moment ... 6.18 μB/cell
Energy of formation ... 1.07 eV per atom
Space-group type ... Immm
Energy above the most stable polymorph in this dataset ... 2.08 eV/f.u.
N(E_F) ... 0.877 states/eV per atom

a b c (Å): 5.7480 5.7480 5.7480
angles (deg): 143.42 119.50 72.82
Closest atoms and distances in Å follow each position.
Fractional positions:
Ba (0.0000, 0.0000, 0.0000)  8 Cr 3.33-3.49, 4 Os 3.41, 2 Ba 3.61
Cr (0.3231, 0.8231, 0.5000)  2 Os 2.44
Cr (0.6769, 0.1769, 0.5000)  2 Os 2.44
Os (0.5000, 0.5000, 0.0000)  4 Cr 2.44

Record 4
Compound: BaCr2Os
Source: Alexandria via LeMat-Bulk
Functional: PBE
Structure: optimized geometry

Calculated values
Magnetic moment ... 6.18 μB/cell
Energy of formation ... 1.39 eV per atom
Space-group type ... P4/mmm
Energy above the most stable polymorph in this dataset ... 3.36 eV/f.u.
N(E_F) ... 1.618 states/eV per atom

a b c (Å): 4.9855 4.9855 3.0803
angles (deg): 90.00 90.00 90.00
Closest atoms and distances in Å follow each position.
Fractional positions:
Ba (0.0000, 0.0000, 0.0000)  8 Cr 2.93, 2 Ba 3.08
Cr (0.0000, 0.5000, 0.5000)  4 Os 2.93, 4 Ba 2.93, 2 Cr 3.08
Cr (0.5000, 0.0000, 0.5000)  4 Os 2.93, 4 Ba 2.93, 2 Cr 3.08
Os (0.5000, 0.5000, 0.0000)  8 Cr 2.93, 2 Os 3.08

Record 5
Compound: BaCrOs3
Source: Alexandria via LeMat-Bulk
Functional: PBE
Structure: optimized geometry

Calculated values
Magnetic moment ... 0.00 μB/cell
Energy of formation ... 1.31 eV per atom
Space-group type ... Pm-3m
Energy above the most stable polymorph in this dataset ... 0.00 eV/f.u.
N(E_F) ... 0.880 states/eV per atom

a b c (Å): 4.6481 4.6481 4.6481
angles (deg): 90.00 90.00 90.00
Closest atoms and distances in Å follow each position.
Fractional positions:
Ba (0.0000, 0.0000, 0.0000)  12 Os 3.29
Cr (0.5000, 0.5000, 0.5000)  6 Os 2.32
Os (0.0000, 0.5000, 0.5000)  2 Cr 2.32
Os (0.5000, 0.0000, 0.5000)  2 Cr 2.32
Os (0.5000, 0.5000, 0.0000)  2 Cr 2.32

Record 6
Compound: BaCr2Os
Source: Alexandria via LeMat-Bulk
Functional: PBE
Structure: optimized geometry

Calculated values
Magnetic moment ... 1.23 μB/cell
Energy of formation ... 0.55 eV per atom
Space-group type ... R3m
Energy above the most stable polymorph in this dataset ... 0.00 eV/f.u.
N(E_F) ... 0.967 states/eV per atom

a b c (Å): 6.5475 6.5475 6.5475
angles (deg): 37.54 37.54 37.54
Closest atoms and distances in Å follow each position.
Fractional positions:
Ba (0.0000, 0.0000, 0.0000)  7 Cr 3.44-3.79, 4 Os 3.48-3.56
Cr (0.1884, 0.1884, 0.1884)  3 Cr 2.49, 3 Os 2.57
Cr (0.4926, 0.4926, 0.4926)  3 Os 2.45, 3 Cr 2.49
Os (0.8092, 0.8092, 0.8092)  6 Cr 2.45-2.57